Here is a crystal of MgAgH2 relaxed with PBEsol from the Alexandria database. Energies are from meta-GGA SCAN.

Values from the calculation:
The density of states at the Fermi level is 0.63 states/eV/f.u. For the calculated total energy, the calculation gives -10.383 eV per atom. The symmetry is Fm-3m. For the volume, the calculation gives 10.8 A^3/atom.

abc: 3.938 3.938 3.938
angles: 60.00 60.00 60.00
Atoms (fractional coordinates):
1 Mg 0.000 0.000 0.000
2 H 0.750 0.750 0.750
3 H 0.250 0.250 0.250
4 Ag 0.500 0.500 0.500

=====

Here is a crystal of CeB4 relaxed with PBEsol from the Alexandria database. Energies are from meta-GGA SCAN.

Values from the calculation:
The density of states at the Fermi level is 2.48 states/eV/f.u. Its formation energy is -0.66 eV/atom. The symmetry is P4/mbm. For the volume, the calculation gives 10.3 A^3/atom.

abc: 4.040 7.127 7.127
angles: 90.00 90.00 90.00
Atoms (fractional coordinates):
1 B 0.500 0.588 0.088
2 B 0.500 0.324 0.461
3 B 0.500 0.961 0.824
4 B 0.500 0.676 0.539
5 B 0.500 0.824 0.039
6 B 0.202 0.500 0.500
7 B 0.798 0.000 0.000
8 B 0.500 0.176 0.961
9 B 0.500 0.039 0.176
10 B 0.500 0.912 0.588
11 B 0.202 0.000 0.000
12 B 0.500 0.461 0.676
13 B 0.500 0.412 0.912
14 B 0.500 0.088 0.412
15 B 0.500 0.539 0.324
16 B 0.798 0.500 0.500
17 Ce 0.000 0.687 0.813
18 Ce 0.000 0.187 0.687
19 Ce 0.000 0.813 0.313
20 Ce 0.000 0.313 0.187